# 1
This record from Alexandria describes a relaxed AcPuAg2Se4 crystal. The functional is PBE.

Cell lengths 7.2055, 7.3817, 8.0914 Å; angles 90.00, 90.00, 90.00 degrees
Sites, in units of the cell vectors:
Ac  0.0000  0.0000  0.0000
Ac  0.5000  0.5000  0.5000
Pu  0.0000  0.0000  0.5000
Pu  0.5000  0.5000  0.0000
Ag  0.0000  0.5000  0.1768
Ag  0.0000  0.5000  0.8232
Ag  0.5000  0.0000  0.3232
Ag  0.5000  0.0000  0.6768
Se  0.2338  0.2322  0.2976
Se  0.2338  0.7678  0.7024
Se  0.2662  0.2678  0.7976
Se  0.2662  0.7322  0.2024
Se  0.7338  0.2678  0.2024
Se  0.7338  0.7322  0.7976
Se  0.7662  0.2322  0.7024
Se  0.7662  0.7678  0.2976

Formation energy (no corrections) = -0.981 eV/atom
Total energy = -0.42200 Ry/atom
Density of states at the Fermi level = 27.65 states/eV per cell
Spin magnetization = 0.6557 μB/atom
Space-group type = No. 23
Mass density = 7.74 g/cm³

***

# 2
This record from Alexandria describes a relaxed AlSi2Se crystal. The functional is PBE.

Cell lengths 3.2580, 4.1351, 10.4837 Å; angles 90.00, 90.00, 90.00 degrees
Sites, in units of the cell vectors:
Al  0.0000  0.0000  0.0000
Al  0.5000  0.5000  0.5000
Si  0.0000  0.5000  0.2881
Si  0.0000  0.5000  0.7119
Si  0.5000  0.0000  0.2119
Si  0.5000  0.0000  0.7881
Se  0.0000  0.0000  0.5000
Se  0.5000  0.5000  0.0000

Formation energy (no corrections) = 0.319 eV/atom
Total energy = -0.30862 Ry/atom
Distance to the lowest polymorph of the same formula = 356.1 meV per atom
Density of states at the Fermi level = 3.91 states/eV per cell
Spin magnetization = 0.0000 μB/atom
Space-group type = No. 71
Mass density = 3.81 g/cm³

***

# 3
This record from Alexandria describes a relaxed KSbW2 crystal. The functional is PBE.

Cell lengths 6.7925, 6.7925, 6.7925 Å; angles 90.00, 90.00, 90.00 degrees
Sites, in units of the cell vectors:
K  0.0000  0.0000  0.0000
K  0.0000  0.5000  0.5000
K  0.5000  0.0000  0.5000
K  0.5000  0.5000  0.0000
Sb  0.2500  0.2500  0.2500
Sb  0.2500  0.7500  0.7500
Sb  0.7500  0.2500  0.7500
Sb  0.7500  0.7500  0.2500
W  0.0000  0.0000  0.5000
W  0.0000  0.5000  0.0000
W  0.2500  0.2500  0.7500
W  0.2500  0.7500  0.2500
W  0.5000  0.0000  0.0000
W  0.5000  0.5000  0.5000
W  0.7500  0.2500  0.2500
W  0.7500  0.7500  0.7500

Formation energy (no corrections) = 1.257 eV/atom
Total energy = -0.47954 Ry/atom
Density of states at the Fermi level = 7.62 states/eV per cell
Spin magnetization = 0.0000 μB/atom
Space-group type = No. 216
Mass density = 11.20 g/cm³

***

# 4
This record from Alexandria describes a relaxed PuNp2S4 crystal. The functional is PBE.

Cell lengths 6.7694, 6.7694, 12.9392 Å; angles 90.00, 90.00, 146.80 degrees
Sites, in units of the cell vectors:
Pu  0.1167  0.8833  0.7500
Pu  0.8833  0.1167  0.2500
Np  0.3664  0.6336  0.5649
Np  0.3664  0.6336  0.9351
Np  0.6336  0.3664  0.0649
Np  0.6336  0.3664  0.4351
S  0.0000  0.0000  0.0000
S  0.0000  0.0000  0.5000
S  0.2717  0.7283  0.1250
S  0.2717  0.7283  0.3750
S  0.4615  0.5385  0.7500
S  0.5385  0.4615  0.2500
S  0.7283  0.2717  0.6250
S  0.7283  0.2717  0.8750

Formation energy (no corrections) = -1.431 eV/atom
Total energy = -0.70079 Ry/atom
Density of states at the Fermi level = 63.36 states/eV per cell
Spin magnetization = 0.3702 μB/atom
Space-group type = No. 63
Mass density = 8.66 g/cm³

***

# 5
This record from Alexandria describes a relaxed Na2PdS2 crystal. The functional is PBE.

Cell lengths 6.6288, 6.6288, 4.2981 Å; angles 90.00, 90.00, 90.00 degrees
Sites, in units of the cell vectors:
Na  0.1506  0.3494  0.0000
Na  0.3494  0.8494  0.0000
Na  0.6506  0.1506  0.0000
Na  0.8494  0.6506  0.0000
Pd  0.0000  0.0000  0.5000
Pd  0.5000  0.5000  0.5000
S  0.1685  0.6685  0.5000
S  0.3315  0.1685  0.5000
S  0.6685  0.8315  0.5000
S  0.8315  0.3315  0.5000

Formation energy (no corrections) = -0.659 eV/atom
Total energy = -0.28490 Ry/atom
Density of states at the Fermi level = 1.71 states/eV per cell
Spin magnetization = 0.0000 μB/atom
Space-group type = No. 127
Mass density = 3.81 g/cm³

***

# 6
This record from Alexandria describes a relaxed Ca2ErThBi4 crystal. The functional is PBE.

Cell lengths 7.8797, 4.5808, 8.0007 Å; angles 90.00, 109.40, 90.00 degrees
Sites, in units of the cell vectors:
Ca  0.0000  0.0000  0.0000
Ca  0.5000  0.5000  0.0000
Er  0.0000  0.5000  0.5000
Th  0.5000  0.0000  0.5000
Bi  0.2413  0.0000  0.7402
Bi  0.2462  0.5000  0.2555
Bi  0.7538  0.5000  0.7445
Bi  0.7587  0.0000  0.2598

Total energy = -0.34312 Ry/atom
Density of states at the Fermi level = 4.94 states/eV per cell
Spin magnetization = 0.0000 μB/atom
Space-group type = No. 10
Mass density = 8.02 g/cm³